{
  "formula": "Y5Er2Ni2Te2",
  "functional": "PBE",
  "state": "relaxed",
  "lattice": [[-1.9294, 7.8190, 4.7884], [1.9294, -7.8190, 4.7884], [1.9294, 7.8190, -4.7884]],
  "species": ["Te", "Te", "Ni", "Ni", "Y", "Er", "Y", "Er", "Y", "Y", "Y"],
  "frac_coords": [[0.7411, 0.2411, 0.5000], [0.1415, 0.1415, 0.0000], [0.6440, 0.4058, 0.2382], [0.1676, 0.4058, 0.7618], [0.7638, 0.8951, 0.8687], [0.4118, 0.0965, 0.3153], [0.0991, 0.7455, 0.3536], [0.7811, 0.0965, 0.6847], [0.4777, 0.4777, 0.0000], [0.0264, 0.8951, 0.1313], [0.3920, 0.7455, 0.6464]],
  "sg": "Imm2 (44)",
  "relative_energy_mev_per_atom": 0.0
}

---

{
  "formula": "DyScZn6",
  "functional": "PBE",
  "state": "relaxed",
  "lattice": [[-0.8804, 2.7353, -3.5723], [3.2567, -2.1241, -2.4290], [-4.3882, -4.2466, -2.1701]],
  "species": ["Zn", "Zn", "Zn", "Zn", "Zn", "Dy", "Zn", "Sc"],
  "frac_coords": [[0.0000, 0.0000, 0.0000], [0.5000, 0.0000, 0.7640], [0.0000, 0.5000, 0.2360], [0.0000, 0.5000, 0.7640], [0.5000, 0.5000, 0.5000], [0.0000, 0.0000, 0.5000], [0.5000, 0.0000, 0.2360], [0.5000, 0.5000, 0.0000]],
  "sg": "P4/mmm (123)",
  "formation_enthalpy_0k_ev_per_atom": -0.29
}

---

{
  "formula": "Tb2HoNi9",
  "functional": "PBE",
  "state": "relaxed",
  "lattice": [[2.4659, 1.4237, 8.1140], [-2.4659, 1.4237, 8.1140], [0.0000, -2.8474, 8.1140]],
  "species": ["Ni", "Ni", "Ni", "Ni", "Ni", "Ni", "Ni", "Ni", "Tb", "Tb", "Ni", "Ho"],
  "frac_coords": [[0.3330, 0.3330, 0.3330], [0.5823, 0.5823, 0.0810], [0.0810, 0.5823, 0.5823], [0.4177, 0.9190, 0.4177], [0.9190, 0.4177, 0.4177], [0.5823, 0.0810, 0.5823], [0.6670, 0.6670, 0.6670], [0.5000, 0.5000, 0.5000], [0.1389, 0.1389, 0.1389], [0.8611, 0.8611, 0.8611], [0.4177, 0.4177, 0.9190], [0.0000, 0.0000, 0.0000]],
  "sg": "R-3m (166)",
  "formation_enthalpy_0k_ev_per_atom": -0.41
}

---

{
  "formula": "Gd2Sc2GeSb",
  "functional": "PBE",
  "state": "relaxed",
  "lattice": [[-2.1691, 2.1691, 7.9852], [2.1691, -2.1691, 7.9852], [2.1691, 2.1691, -7.9852]],
  "species": ["Gd", "Ge", "Sb", "Sc", "Gd", "Sc"],
  "frac_coords": [[0.6715, 0.6715, 0.0000], [0.1262, 0.1262, 0.0000], [0.8703, 0.8703, 0.0000], [0.5070, 0.0070, 0.5000], [0.3181, 0.3181, 0.0000], [0.0070, 0.5070, 0.5000]],
  "sg": "I4mm (107)"
}

---

{
  "formula": "RbSiTe3Au",
  "functional": "PBE",
  "state": "relaxed",
  "lattice": [[8.7457, -1.9010, 0.0000], [8.7457, 1.9010, 0.0000], [0.0000, 0.0000, 11.3523]],
  "species": ["Si", "Te", "Te", "Au", "Te", "Rb", "Au", "Si", "Te", "Te", "Rb", "Te"],
  "frac_coords": [[0.0000, 0.0000, 0.0000], [0.6138, 0.6138, 0.9809], [0.0397, 0.0397, 0.2500], [0.6041, 0.6041, 0.7500], [0.3862, 0.3862, 0.0191], [0.2700, 0.2700, 0.7500], [0.3959, 0.3959, 0.2500], [0.0000, 0.0000, 0.5000], [0.9603, 0.9603, 0.7500], [0.3862, 0.3862, 0.4809], [0.7300, 0.7300, 0.2500], [0.6138, 0.6138, 0.5191]],
  "sg": "Cmcm (63)"
}

---

{
  "formula": "TbOsAu",
  "functional": "PBE",
  "state": "relaxed",
  "lattice": [[-2.7516, -1.7977, 3.1898], [-0.0218, 1.7263, 4.2424], [-3.6279, 2.3647, 1.4915]],
  "species": ["Os", "Au", "Tb"],
  "frac_coords": [[0.0000, 0.0000, 0.0000], [0.2500, 0.2500, 0.2500], [0.7500, 0.7500, 0.7500]],
  "sg": "F-43m (216)",
  "formation_enthalpy_0k_ev_per_atom": 0.38
}

---

{
  "formula": "PrSi2PtAu",
  "functional": "PBE",
  "state": "relaxed",
  "lattice": [[4.3359, 0.0000, 0.0000], [0.0000, 4.3359, 0.0000], [0.0000, 0.0000, 10.0236]],
  "species": ["Pt", "Au", "Si", "Pt", "Si", "Au", "Si", "Pr", "Si", "Pr"],
  "frac_coords": [[0.0000, 0.5000, 0.6137], [0.5000, 0.5000, 0.0000], [0.0000, 0.0000, 0.5000], [0.5000, 0.0000, 0.3863], [0.5000, 0.0000, 0.1452], [0.0000, 0.0000, 0.0000], [0.5000, 0.5000, 0.5000], [0.0000, 0.5000, 0.2577], [0.0000, 0.5000, 0.8548], [0.5000, 0.0000, 0.7423]],
  "sg": "P4/nmm (129)"
}

---

{
  "formula": "Gd3MgGa2Hg2Pd",
  "functional": "PBE",
  "state": "relaxed",
  "lattice": [[4.3244, 0.0000, 0.0000], [0.0000, 6.4530, 3.6522], [0.0000, -6.4530, 3.6522]],
  "species": ["Pd", "Ga", "Mg", "Ga", "Hg", "Hg", "Gd", "Gd", "Gd"],
  "frac_coords": [[0.5000, 0.0132, 0.0132], [0.0000, 0.6544, 0.3354], [0.0000, 0.2305, 0.2305], [0.0000, 0.3354, 0.6544], [0.0000, 0.7494, 0.0088], [0.0000, 0.0088, 0.7494], [0.5000, 0.9974, 0.4116], [0.5000, 0.5994, 0.5994], [0.5000, 0.4116, 0.9974]],
  "sg": "Amm2 (38)"
}

---

| no. | volume (Å³/f.u.) | DFT total energy (eV per atom) |
| --- | --- | --- |
| 1 | 289.0 | -6.04 |
| 2 | 136.2 | -2.60 |
| 3 | 170.9 | -5.74 |
| 4 | 150.3 | -5.91 |
| 5 | 188.7 | -3.39 |
| 6 | 67.9 | -5.99 |
| 7 | 94.2 | -5.91 |
| 8 | 203.8 | -3.64 |